A geometry-optimized SrCd2In structure. Source: Alexandria, functional PBEsol.

Formation energy = -5.97 kcal/mol of atoms
Crystal system = cubic
Theoretical density = 7.08 g/cm³

The structure in CIF format:
```
data_SrCd2In
_space_group_name_H-M_alt 'P 1'
_space_group_IT_number 1
_space_group_name_Hall 'P 1'
_cell_length_a 5.214
_cell_length_b 5.214
_cell_length_c 5.214
_cell_angle_alpha 60.00
_cell_angle_beta 60.00
_cell_angle_gamma 60.00
loop_
_atom_site_label
_atom_site_type_symbol
_atom_site_fract_x
_atom_site_fract_y
_atom_site_fract_z
_atom_site_occupancy
Sr1 Sr 0.000 0.000 0.000 1
Cd1 Cd 0.250 0.250 0.250 1
Cd2 Cd 0.500 0.500 0.500 1
In1 In 0.750 0.750 0.750 1
```

---

A geometry-optimized SrCd2In structure. Source: Alexandria, functional PBEsol.

Formation energy = -4.81 kcal/mol of atoms
Crystal system = tetragonal
Theoretical density = 6.79 g/cm³

The structure in CIF format:
```
data_SrCd2In
_space_group_name_H-M_alt 'P 1'
_space_group_IT_number 1
_space_group_name_Hall 'P 1'
_cell_length_a 3.655
_cell_length_b 3.655
_cell_length_c 7.818
_cell_angle_alpha 90.00
_cell_angle_beta 90.00
_cell_angle_gamma 90.00
loop_
_atom_site_label
_atom_site_type_symbol
_atom_site_fract_x
_atom_site_fract_y
_atom_site_fract_z
_atom_site_occupancy
Sr1 Sr 0.000 0.000 0.000 1
Cd1 Cd 0.000 0.000 0.487 1
Cd2 Cd 0.500 0.500 0.285 1
In1 In 0.500 0.500 0.704 1
```

---

The lowest theoretical density belongs to which entry? number 2